Entry 1:
{"formula": "Ag5Au3S4", "functional": "PBE", "state": "relaxed", "density_g_cm3": 7.67, "dft_energy_ev_per_atom": -3.40, "sg": "P1, No. 1", "e_form_raw_ev_per_atom": -0.016, "lattice_angstrom": [[4.747, 0.000, 0.000], [-0.340, 5.702, 0.000], [-1.158, -0.388, 10.066]], "species": ["Ag", "Ag", "Ag", "Ag", "Ag", "Au", "Au", "Au", "S", "S", "S", "S"], "fractional_positions": [[0.000, 0.000, 0.000], [0.013, 0.505, 0.706], [0.327, 0.343, 0.377], [0.561, 0.044, 0.179], [0.699, 0.538, 0.057], [0.071, 0.811, 0.284], [0.529, 0.763, 0.801], [0.639, 0.762, 0.512], [0.217, 0.510, 0.147], [0.483, 0.098, 0.933], [0.496, 0.442, 0.640], [0.835, 0.085, 0.408]]}


Entry 2:
{"formula": "Ag2SbAuS4", "functional": "PBE", "state": "relaxed", "density_g_cm3": 5.59, "dft_energy_ev_per_atom": -3.74, "sg": "Pmn2_1, No. 31", "e_form_raw_ev_per_atom": -0.038, "lattice_angstrom": [[8.081, 0.000, 0.000], [0.000, 7.142, 0.000], [0.000, 0.000, 6.828]], "species": ["Ag", "Ag", "Ag", "Ag", "Sb", "Sb", "Au", "Au", "S", "S", "S", "S", "S", "S", "S", "S"], "fractional_positions": [[0.244, 0.177, 0.000], [0.256, 0.823, 0.500], [0.744, 0.823, 0.500], [0.756, 0.177, 0.000], [0.000, 0.323, 0.498], [0.500, 0.677, 0.998], [0.000, 0.692, 0.016], [0.500, 0.308, 0.516], [0.000, 0.349, 0.848], [0.000, 0.641, 0.373], [0.247, 0.163, 0.376], [0.253, 0.837, 0.876], [0.500, 0.359, 0.873], [0.500, 0.651, 0.348], [0.747, 0.837, 0.876], [0.753, 0.163, 0.376]]}


Entry 3:
{"formula": "ScAgAu2S", "functional": "PBE", "state": "relaxed", "density_g_cm3": 7.33, "dft_energy_ev_per_atom": -3.89, "sg": "P4/mmm, No. 123", "e_form_raw_ev_per_atom": 0.088, "lattice_angstrom": [[5.264, 0.000, 0.000], [0.000, 5.264, 0.000], [0.000, 0.000, 4.730]], "species": ["Sc", "Ag", "Au", "Au", "S"], "fractional_positions": [[0.000, 0.000, 0.000], [0.500, 0.500, 0.500], [0.000, 0.500, 0.000], [0.500, 0.000, 0.000], [0.000, 0.000, 0.500]]}


Entry 4:
{"formula": "Ag6Au2Se3S", "functional": "PBE", "state": "relaxed", "density_g_cm3": 8.59, "dft_energy_ev_per_atom": -3.25, "sg": "C2, No. 5", "e_form_raw_ev_per_atom": -0.066, "lattice_angstrom": [[7.091, -5.017, 0.000], [7.091, 5.017, 0.000], [-7.087, 0.000, 7.119]], "species": ["Ag", "Ag", "Ag", "Ag", "Ag", "Ag", "Ag", "Ag", "Ag", "Ag", "Ag", "Ag", "Au", "Au", "Au", "Au", "Se", "Se", "Se", "Se", "Se", "Se", "S", "S"], "fractional_positions": [[0.000, 0.000, 0.000], [0.118, 0.362, 0.371], [0.130, 0.379, 0.882], [0.239, 0.002, 0.868], [0.255, 0.745, 0.500], [0.503, 0.497, 0.000], [0.505, 0.252, 0.626], [0.621, 0.870, 0.118], [0.638, 0.882, 0.629], [0.748, 0.495, 0.374], [0.763, 0.237, 0.500], [0.998, 0.761, 0.132], [0.377, 0.374, 0.253], [0.626, 0.623, 0.747], [0.627, 0.122, 0.002], [0.878, 0.373, 0.998], [0.335, 0.623, 0.745], [0.342, 0.125, 0.715], [0.375, 0.085, 0.249], [0.377, 0.665, 0.255], [0.875, 0.658, 0.285], [0.915, 0.625, 0.751], [0.876, 0.103, 0.723], [0.897, 0.124, 0.277]]}


Entry 5:
{"formula": "SiAg2AuS4", "functional": "PBE", "state": "relaxed", "density_g_cm3": 5.35, "dft_energy_ev_per_atom": -4.09, "sg": "Fmm2, No. 42", "e_form_raw_ev_per_atom": -0.223, "lattice_angstrom": [[0.000, 3.960, 5.634], [3.958, 0.000, 5.634], [3.958, 3.960, 0.000]], "species": ["Si", "Ag", "Ag", "Au", "S", "S", "S", "S"], "fractional_positions": [[0.000, 0.000, 0.000], [0.249, 0.249, 0.251], [0.749, 0.749, 0.751], [0.498, 0.498, 0.502], [0.112, 0.668, 0.332], [0.331, 0.887, 0.669], [0.668, 0.112, 0.888], [0.887, 0.331, 0.113]]}


Entry 6:
{"formula": "Ag2SnAuS4", "functional": "PBE", "state": "relaxed", "density_g_cm3": 5.64, "dft_energy_ev_per_atom": -3.80, "sg": "Fmm2, No. 42", "e_form_raw_ev_per_atom": -0.114, "lattice_angstrom": [[0.000, 4.081, 5.829], [4.080, 0.000, 5.829], [4.080, 4.081, 0.000]], "species": ["Ag", "Ag", "Sn", "Au", "S", "S", "S", "S"], "fractional_positions": [[0.000, 0.000, 0.500], [0.500, 0.500, 0.000], [0.250, 0.250, 0.750], [0.750, 0.750, 0.250], [0.124, 0.618, 0.382], [0.376, 0.881, 0.624], [0.618, 0.124, 0.876], [0.881, 0.376, 0.119]]}


Entry 7:
{"formula": "TlAgAuS", "functional": "PBE", "state": "relaxed", "density_g_cm3": 9.64, "dft_energy_ev_per_atom": -3.19, "sg": "P4/nmm, No. 129", "e_form_raw_ev_per_atom": -0.034, "lattice_angstrom": [[3.956, 0.000, 0.000], [0.000, 3.956, 0.000], [0.000, 0.000, 11.908]], "species": ["Tl", "Tl", "Ag", "Ag", "Au", "Au", "S", "S"], "fractional_positions": [[0.250, 0.250, 0.230], [0.750, 0.750, 0.770], [0.250, 0.750, 0.500], [0.750, 0.250, 0.500], [0.250, 0.750, 0.000], [0.750, 0.250, 0.000], [0.250, 0.250, 0.652], [0.750, 0.750, 0.348]]}


Entry 8:
{"formula": "Ag2SbAu2", "functional": "PBE", "state": "relaxed", "density_g_cm3": 12.01, "dft_energy_ev_per_atom": -3.21, "sg": "P4/mbm, No. 127", "e_form_raw_ev_per_atom": 0.062, "polymorph_energy_ev_per_fu": 0.133, "lattice_angstrom": [[8.254, 0.000, 0.000], [0.000, 8.254, 0.000], [0.000, 0.000, 2.968]], "species": ["Ag", "Ag", "Ag", "Ag", "Sb", "Sb", "Au", "Au", "Au", "Au"], "fractional_positions": [[0.124, 0.376, 0.000], [0.376, 0.876, 0.000], [0.624, 0.124, 0.000], [0.876, 0.624, 0.000], [0.000, 0.000, 0.000], [0.500, 0.500, 0.000], [0.172, 0.672, 0.500], [0.328, 0.172, 0.500], [0.672, 0.828, 0.500], [0.828, 0.328, 0.500]]}


Entry 9:
{"formula": "AgSbAu2", "functional": "PBE", "state": "relaxed", "density_g_cm3": 12.93, "dft_energy_ev_per_atom": -3.36, "sg": "P4/mmm, No. 123", "e_form_raw_ev_per_atom": 0.022, "lattice_angstrom": [[3.665, 0.000, 0.000], [0.000, 3.665, 0.000], [0.000, 0.000, 5.964]], "species": ["Ag", "Sb", "Au", "Au"], "fractional_positions": [[0.000, 0.000, 0.000], [0.000, 0.000, 0.500], [0.500, 0.500, 0.243], [0.500, 0.500, 0.757]]}


Entry 10:
{"formula": "Ag2SbAu8", "functional": "PBE", "state": "relaxed", "density_g_cm3": 14.85, "dft_energy_ev_per_atom": -3.27, "sg": "P4/mmm, No. 123", "e_form_raw_ev_per_atom": 0.005, "polymorph_energy_ev_per_fu": 0.000, "lattice_angstrom": [[4.135, 0.000, 0.000], [0.000, 4.135, 0.000], [0.000, 0.000, 12.510]], "species": ["Ag", "Ag", "Sb", "Au", "Au", "Au", "Au", "Au", "Au", "Au", "Au"], "fractional_positions": [[0.000, 0.000, 0.168], [0.000, 0.000, 0.832], [0.000, 0.000, 0.500], [0.000, 0.500, 0.000], [0.000, 0.500, 0.338], [0.000, 0.500, 0.662], [0.500, 0.000, 0.000], [0.500, 0.000, 0.338], [0.500, 0.000, 0.662], [0.500, 0.500, 0.167], [0.500, 0.500, 0.833]]}


Entry 11:
{"formula": "Ag7Sb2Au2", "functional": "PBE", "state": "relaxed", "density_g_cm3": 10.50, "dft_energy_ev_per_atom": -3.09, "sg": "C2/m, No. 12", "e_form_raw_ev_per_atom": 0.075, "lattice_angstrom": [[4.804, -4.903, 0.000], [4.804, 4.903, 0.000], [-2.225, 0.000, 4.673]], "species": ["Ag", "Ag", "Ag", "Ag", "Ag", "Ag", "Ag", "Sb", "Sb", "Au", "Au"], "fractional_positions": [[0.000, 0.000, 0.000], [0.082, 0.590, 0.845], [0.404, 0.404, 0.200], [0.410, 0.918, 0.155], [0.590, 0.082, 0.845], [0.596, 0.596, 0.800], [0.918, 0.410, 0.155], [0.233, 0.233, 0.563], [0.767, 0.767, 0.437], [0.216, 0.784, 0.500], [0.784, 0.216, 0.500]]}


Entry 12:
{"formula": "AgSbAu14", "functional": "PBE", "state": "relaxed", "density_g_cm3": 16.77, "dft_energy_ev_per_atom": -3.29, "sg": "P4/mmm, No. 123", "e_form_raw_ev_per_atom": 0.018, "lattice_angstrom": [[5.990, 0.000, 0.000], [0.000, 5.990, 0.000], [0.000, 0.000, 8.243]], "species": ["Ag", "Sb", "Au", "Au", "Au", "Au", "Au", "Au", "Au", "Au", "Au", "Au", "Au", "Au", "Au", "Au"], "fractional_positions": [[0.000, 0.000, 0.000], [0.500, 0.500, 0.000], [0.000, 0.000, 0.500], [0.000, 0.500, 0.000], [0.000, 0.500, 0.500], [0.247, 0.247, 0.254], [0.247, 0.247, 0.746], [0.247, 0.753, 0.254], [0.247, 0.753, 0.746], [0.500, 0.000, 0.000], [0.500, 0.000, 0.500], [0.500, 0.500, 0.500], [0.753, 0.247, 0.254], [0.753, 0.247, 0.746], [0.753, 0.753, 0.254], [0.753, 0.753, 0.746]]}